Below is V2POF after structural relaxation, with properties calculated at the GGA+U level.

a b c (Å): 4.8359 3.6377 4.8359
angles (deg): 90.00 90.00 90.00
Each line ends with the local moment (μB).
Atoms (fractional coordinates):
V 0.5000 0.0000 0.0000  2.80
V 0.0000 0.0000 0.5000  2.82
F 0.5000 0.5000 0.5000  0.01
P 0.0000 0.0000 0.0000  -0.13
O 0.0000 0.5000 0.0000  -0.02

Output
Space group   No. 123
Size of the total moment   6.2 μB/cell
Total DFT energy (no corrections)   -27.8 eV/cell